Compound: ZrMo2W
Source: the Alexandria database
Functional: SCAN
Structure: single point on PBEsol structure

DFT total energy	-169.99	eV for the cell shown
energy of formation	0.041	eV/atom

a = 3.189 Å, b = 3.189 Å, c = 6.532 Å
α = 90.00°, β = 90.00°, γ = 90.00°
Positions (direct):
Mo  0.000  0.000  0.016
Mo  0.500  0.500  0.249
W  0.000  0.000  0.483
Zr  0.500  0.500  0.752